Material: TiReS2Cl
Method: DFT, GGA-PBE
State: relaxed

Summary:
Total magnetic moment (μB/f.u.): 5.8
Energy above the lowest structure with this stoichiometry (meV per atom): 0
Formation energy without anion corrections (eV per formula unit): 2.2

abc: 4.778 4.778 4.701
angles: 90.00 90.00 90.00
Fractional positions:
S 0.500 0.000 0.000
S 0.000 0.500 0.000
Re 0.500 0.500 0.500
Cl 0.000 0.000 0.500
Ti 0.000 0.000 0.000

Material: TlRe3S4Cl2
Method: DFT, GGA-PBE
State: relaxed

Summary:
Total magnetic moment (μB/f.u.): 0.0
Formation energy without anion corrections (eV per formula unit): -7.1

abc: 6.425 9.293 17.424
angles: 96.69 93.60 96.87
Fractional positions:
Cl 0.171 0.785 0.195
Cl 0.075 0.622 0.844
Cl 0.326 0.299 0.700
Cl 0.829 0.215 0.805
Cl 0.431 0.920 0.618
Cl 0.674 0.701 0.300
Cl 0.925 0.378 0.156
Cl 0.569 0.080 0.382
Re 0.034 0.835 0.932
Re 0.466 0.683 0.551
Re 0.222 0.475 0.462
Re 0.534 0.317 0.449
Re 0.425 0.412 0.587
Re 0.278 0.071 0.995
Re 0.966 0.165 0.068
Re 0.073 0.906 0.085
Re 0.927 0.094 0.915
Re 0.575 0.588 0.413
Re 0.722 0.929 0.005
Re 0.778 0.525 0.538
Tl 0.027 0.972 0.339
Tl 0.412 0.511 0.160
Tl 0.588 0.489 0.840
Tl 0.973 0.028 0.661
S 0.341 0.389 0.339
S 0.851 0.433 0.402
S 0.839 0.696 0.021
S 0.719 0.278 0.568
S 0.779 0.998 0.144
S 0.161 0.304 0.979
S 0.650 0.184 0.988
S 0.149 0.567 0.598
S 0.204 0.229 0.497
S 0.281 0.722 0.432
S 0.796 0.771 0.503
S 0.221 0.002 0.856
S 0.706 0.868 0.866
S 0.350 0.816 0.012
S 0.659 0.611 0.661
S 0.294 0.132 0.134

Material: TlReSCl2
Method: DFT, GGA-PBE
State: relaxed

Summary:
Total magnetic moment (μB/f.u.): 5.6
Energy above the lowest structure with this stoichiometry (meV per atom): 1231
Formation energy without anion corrections (eV per formula unit): 5.3

abc: 5.295 5.295 5.210
angles: 90.00 90.00 90.00
Fractional positions:
Cl 0.000 0.500 0.000
Cl 0.500 0.000 0.000
Re 0.500 0.500 0.500
Tl 0.000 0.000 0.000
S 0.000 0.000 0.500

Material: Tl2ReS2Cl4
Method: DFT, GGA-PBE
State: relaxed

Summary:
Total magnetic moment (μB/f.u.): 1.0
Formation energy without anion corrections (eV per formula unit): -4.8

abc: 6.111 6.866 6.866
angles: 61.77 84.19 84.19
Fractional positions:
Re 0.500 0.000 0.000
Tl 0.256 0.667 0.667
Tl 0.744 0.333 0.333
Cl 0.690 0.850 0.339
Cl 0.690 0.339 0.850
Cl 0.310 0.150 0.661
Cl 0.310 0.661 0.150
S 0.231 0.143 0.143
S 0.769 0.857 0.857

Material: TlReS2Cl
Method: DFT, GGA-PBE
State: relaxed

Summary:
Total magnetic moment (μB/f.u.): 4.8
Energy above the lowest structure with this stoichiometry (meV per atom): 1540
Formation energy without anion corrections (eV per formula unit): 6.9

abc: 5.149 5.149 5.138
angles: 90.00 90.00 90.00
Fractional positions:
Re 0.500 0.500 0.500
Tl 0.000 0.000 0.000
S 0.000 0.500 0.000
S 0.500 0.000 0.000
Cl 0.000 0.000 0.500

Material: TlReSCl2
Method: DFT, GGA-PBE
State: relaxed

Summary:
Total magnetic moment (μB/f.u.): 0.6
Energy above the lowest structure with this stoichiometry (meV per atom): 0
Formation energy without anion corrections (eV per formula unit): -0.9

abc: 5.098 5.098 4.501
angles: 90.00 90.00 90.00
Fractional positions:
Re 0.000 0.000 0.000
S 0.000 0.000 0.500
Cl 0.500 0.000 0.000
Cl 0.000 0.500 0.000
Tl 0.500 0.500 0.500

Material: TlReS2Cl
Method: DFT, GGA-PBE
State: relaxed

Summary:
Total magnetic moment (μB/f.u.): 0.0
Energy above the lowest structure with this stoichiometry (meV per atom): 0
Formation energy without anion corrections (eV per formula unit): -0.8

abc: 4.607 4.607 5.307
angles: 90.00 90.00 90.00
Fractional positions:
Re 0.000 0.000 0.000
Tl 0.500 0.500 0.500
S 0.500 0.000 0.000
S 0.000 0.500 0.000
Cl 0.000 0.000 0.500

Material: VReSCl2
Method: DFT, GGA-PBE
State: relaxed

Summary:
Total magnetic moment (μB/f.u.): 5.8
Energy above the lowest structure with this stoichiometry (meV per atom): 0
Formation energy without anion corrections (eV per formula unit): 3.5

abc: 4.756 4.756 4.679
angles: 90.00 90.00 90.00
Fractional positions:
Cl 0.000 0.500 0.000
Cl 0.500 0.000 0.000
S 0.000 0.000 0.500
V 0.000 0.000 0.000
Re 0.500 0.500 0.500

Material: VReS2Cl
Method: DFT, GGA-PBE
State: relaxed

Summary:
Total magnetic moment (μB/f.u.): 4.1
Energy above the lowest structure with this stoichiometry (meV per atom): 0
Formation energy without anion corrections (eV per formula unit): 2.6

abc: 4.556 4.556 5.059
angles: 90.00 90.00 90.00
Fractional positions:
S 0.000 0.500 0.000
S 0.500 0.000 0.000
V 0.500 0.500 0.500
Re 0.000 0.000 0.000
Cl 0.000 0.000 0.500

Material: VReSCl2
Method: DFT, GGA-PBE
State: relaxed

Summary:
Total magnetic moment (μB/f.u.): 0.2
Energy above the lowest structure with this stoichiometry (meV per atom): 146
Formation energy without anion corrections (eV per formula unit): 4.2

abc: 4.957 4.957 4.451
angles: 90.00 90.00 90.00
Fractional positions:
Cl 0.000 0.500 0.000
Cl 0.500 0.000 0.000
V 0.500 0.500 0.500
Re 0.000 0.000 0.000
S 0.000 0.000 0.500

Material: VReS2Cl
Method: DFT, GGA-PBE
State: relaxed

Summary:
Total magnetic moment (μB/f.u.): 6.9
Energy above the lowest structure with this stoichiometry (meV per atom): 197
Formation energy without anion corrections (eV per formula unit): 3.6

abc: 4.680 4.680 4.683
angles: 90.00 90.00 90.00
Fractional positions:
Re 0.500 0.500 0.500
S 0.000 0.500 0.000
S 0.500 0.000 0.000
Cl 0.000 0.000 0.500
V 0.000 0.000 0.000

Material: ReWS2Cl
Method: DFT, GGA-PBE
State: relaxed

Summary:
Total magnetic moment (μB/f.u.): 5.8
Energy above the lowest structure with this stoichiometry (meV per atom): 0
Formation energy without anion corrections (eV per formula unit): 5.5

abc: 4.697 4.697 4.906
angles: 90.00 90.00 90.00
Fractional positions:
S 0.000 0.500 0.000
S 0.500 0.000 0.000
W 0.000 0.000 0.000
Cl 0.000 0.000 0.500
Re 0.500 0.500 0.500